(1)
VASP calculation (PBE-GGA) on a geometry-optimized CdOs2Ru structure.

Cell and atoms, written as extended XYZ:
```
4
Lattice="-3.104 -0.182 2.684 2.267 -1.930 2.491 1.151 3.364 1.559" Properties=species:S:1:pos:R:3 pbc="T T T"
Cd -0.976 1.591 2.121
Os 0.000 0.000 0.000
Os 1.709 0.717 2.025
Ru -0.418 -1.056 2.588
```

Crystal system: tetragonal
DOS(E_F): 6.541 states/eV per cell
SG: No. 123
Raw total energy: -7.387 eV per atom
Magnetic moment: 0.0 Bohr magnetons per cell

=====

(2)
VASP calculation (PBE-GGA) on a geometry-optimized SrSiP2S structure.

Cell and atoms, written as extended XYZ:
```
5
Lattice="-0.220 -5.386 -0.668 0.874 -0.695 5.316 -5.298 0.106 0.885" Properties=species:S:1:pos:R:3 pbc="T T T"
Sr 0.000 0.000 0.000
S -2.649 0.053 0.442
Si -2.322 -2.987 2.766
P 0.437 -0.347 2.658
P -0.110 -2.693 -0.334
```

Crystal system: tetragonal
DOS(E_F): 5.533 states/eV per cell
SG: No. 123
Raw total energy: -3.070 eV per atom
E_form (uncorrected): 6.70 eV/f.u.
Magnetic moment: 0.8 Bohr magnetons per cell
Energy above the lowest structure with this stoichiometry: 1579 meV/atom